Record 1
This record from the Alexandria database describes an optimized crystal structure of Zr2BiMoPb. The functional is PBE.

Geometry as extended XYZ:
```
5
Lattice="-2.4805 -2.1777 4.2746 -0.4635 -4.4265 -2.5240 4.7723 -1.6108 1.9487" Properties=species:S:1:pos:R:3 pbc="T T T"
Pb 0.0000 0.0000 0.0000
Mo -0.2317 -2.2132 -1.2620
Bi 0.9142 -4.1075 1.8496
Zr 2.3861 -0.8054 0.9743
Zr -1.2402 -1.0888 2.1373
```

Output
E_tot (eV/atom): -5.79
E_form (eV/atom): 1.3119

Record 2
This record from the Alexandria database describes an optimized crystal structure of BiMoPd3. The functional is PBE.

Geometry as extended XYZ:
```
5
Lattice="4.8453 0.0000 0.0000 0.0000 4.8453 0.0000 0.0000 0.0000 4.8453" Properties=species:S:1:pos:R:3 pbc="T T T"
Mo 0.0000 0.0000 0.0000
Bi 2.4226 2.4226 2.4226
Pd 0.0000 2.4226 0.0000
Pd 0.0000 0.0000 2.4226
Pd 2.4226 0.0000 0.0000
```

Output
E_tot (eV/atom): -5.19
E_form (eV/atom): 0.8642
Excess energy over the best structure of this formula in the dataset (eV per formula unit): 0.000

Record 3
This record from the Alexandria database describes an optimized crystal structure of Bi2MoPd. The functional is PBE.

Geometry as extended XYZ:
```
4
Lattice="0.0000 3.5047 3.5047 3.5047 0.0000 3.5047 3.5047 3.5047 0.0000" Properties=species:S:1:pos:R:3 pbc="T T T"
Mo 0.0000 0.0000 0.0000
Bi 1.7523 1.7523 1.7523
Bi 5.2570 5.2570 5.2570
Pd 3.5047 3.5047 3.5047
```

Output
E_tot (eV/atom): -5.52
E_form (eV/atom): 0.4222
Excess energy over the best structure of this formula in the dataset (eV per formula unit): 0.000